(1)
A geometry-optimized Tl2Zn2Co structure. Source: the Alexandria database, functional PBE-GGA.

Cell and atoms, written as POSCAR:
```
Tl2Zn2Co
1.0
-2.764 0.587 -5.912
-4.739 -4.151 1.803
-2.638 3.707 1.601
Tl Co Zn
4 2 4
direct
0.818 0.318 0.500
0.182 0.682 0.500
0.682 0.818 0.500
0.318 0.182 0.500
0.000 0.000 0.000
0.500 0.500 0.000
0.147 0.353 0.000
0.353 0.853 0.000
0.647 0.147 0.000
0.853 0.647 0.000
```

As for the formation energy: 2.12 eV per formula unit. The excess energy over the best structure of this formula in the dataset comes out at 0.00 eV per formula unit.

(2)
A geometry-optimized Sm3NiGe2 structure. Source: the Alexandria database, functional PBE-GGA.

Cell and atoms, written as POSCAR:
```
Sm3NiGe2
1.0
4.248 0.000 0.000
0.000 11.574 0.000
0.000 0.000 11.666
Ge Sm Ni
8 12 4
direct
0.750 0.505 0.195
0.250 0.687 0.479
0.250 0.495 0.805
0.250 0.005 0.305
0.750 0.187 0.021
0.250 0.813 0.979
0.750 0.995 0.695
0.750 0.313 0.521
0.750 0.557 0.618
0.250 0.443 0.382
0.250 0.696 0.217
0.750 0.943 0.118
0.250 0.373 0.058
0.250 0.127 0.558
0.250 0.057 0.882
0.750 0.873 0.442
0.750 0.304 0.783
0.750 0.627 0.942
0.750 0.196 0.283
0.250 0.804 0.717
0.750 0.867 0.871
0.750 0.633 0.371
0.250 0.133 0.129
0.250 0.367 0.629
```

As for the formation energy: -4.52 eV per formula unit.

(3)
A geometry-optimized Y6C2N structure. Source: the Alexandria database, functional PBE-GGA.

Cell and atoms, written as POSCAR:
```
Y6C2N
1.0
3.492 0.000 -0.800
-0.414 7.096 -1.807
0.030 -0.091 8.150
Y C N
6 2 1
direct
0.660 0.096 0.319
0.340 0.904 0.681
0.328 0.432 0.656
0.672 0.568 0.344
0.994 0.767 0.989
0.006 0.233 0.011
0.836 0.671 0.671
0.164 0.329 0.329
0.500 0.000 0.000
```

As for the formation energy (no corrections): -13.05 kcal/mol of atoms.

(4)
A geometry-optimized NpAlSn2 structure. Source: the Alexandria database, functional PBE-GGA.

Cell and atoms, written as POSCAR:
```
NpAlSn2
1.0
-2.992 -1.316 1.896
-1.759 -0.709 -3.269
2.628 -6.105 -0.090
Sn Al Np
2 1 1
direct
0.000 0.000 0.221
0.000 0.000 0.779
0.500 0.500 0.000
0.500 0.500 0.500
```

As for the formation energy: 0.19 eV per formula unit. The excess energy over the best structure of this formula in the dataset comes out at 0.66 eV per formula unit.

(5)
A geometry-optimized Rb3Er3HfTe8 structure. Source: the Alexandria database, functional PBE-GGA.

Cell and atoms, written as POSCAR:
```
Rb3Er3HfTe8
1.0
8.752 0.000 0.000
-4.376 7.576 -0.033
0.000 -5.015 8.785
Te Rb Er Hf
8 3 3 1
direct
0.744 0.968 0.692
0.267 0.534 0.302
0.224 0.968 0.692
0.776 0.032 0.308
0.256 0.032 0.308
0.224 0.448 0.692
0.776 0.552 0.308
0.733 0.466 0.698
0.500 0.500 0.000
0.000 0.500 0.000
0.000 0.000 0.000
0.500 0.500 0.500
0.000 0.500 0.500
0.500 0.000 0.500
0.000 0.000 0.500
```

As for the formation energy (no corrections): -28.91 kcal/mol of atoms.

(6)
A geometry-optimized K5SnF8 structure. Source: the Alexandria database, functional PBE-GGA.

Cell and atoms, written as POSCAR:
```
K5SnF8
1.0
6.439 0.540 -1.971
-3.398 5.496 -1.971
-0.272 -0.539 6.728
Sn K F
1 5 8
direct
0.250 0.750 0.500
0.500 0.500 0.000
0.390 0.014 0.133
0.986 0.118 0.375
0.743 0.610 0.624
0.882 0.257 0.867
0.031 0.742 0.156
0.126 0.969 0.711
0.258 0.415 0.289
0.585 0.874 0.844
0.820 0.419 0.272
0.581 0.853 0.401
0.452 0.180 0.599
0.147 0.548 0.728
```

As for the formation energy (no corrections): -59.63 kcal/mol of atoms.

Number 1: uncorrected energy -2.45 eV per atom, M_tot 0.26 μB/atom. Number 2: uncorrected energy -5.62 eV per atom, M_tot 0.13 μB/atom. Number 3: uncorrected energy -7.85 eV per atom, M_tot 0.09 μB/atom. Number 4: uncorrected energy -6.12 eV per atom, M_tot 1.13 μB/atom. Number 5: uncorrected energy -4.70 eV per atom, M_tot 0.00 μB/atom. Number 6: uncorrected energy -4.33 eV per atom, M_tot 0.06 μB/atom.